Entry from Alexandria via LeMat-Bulk: a geometry-optimized KZr2Br structure (GGA-PBEsol).

CIF file:
```
data_KZr2Br
_chemical_formula_sum 'K1 Zr2 Br1'
_space_group_name_H-M_alt 'P 1'
_space_group_IT_number 1
_cell_length_a 5.2686
_cell_length_b 5.2686
_cell_length_c 5.2686
_cell_angle_alpha 60.00
_cell_angle_beta 60.00
_cell_angle_gamma 60.00
loop_
_space_group_symop_operation_xyz
'x,y,z'
loop_
_atom_site_label
_atom_site_type_symbol
_atom_site_fract_x
_atom_site_fract_y
_atom_site_fract_z
Zr1 Zr 0.7500 0.7500 0.7500
Zr2 Zr 0.0000 0.0000 0.0000
Br1 Br 0.5000 0.5000 0.5000
K1 K 0.2500 0.2500 0.2500
```

Results
formation energy from raw total energies: 0.774 eV/atom
space group: F-43m, No. 216
density of states at the Fermi level: 4.800 states/eV per cell
calculated total energy: -18.1 eV/f.u.
relative energy among the computed polymorphs: 1024.6 meV/atom